Record 1
Entry from Alexandria via LeMat-Bulk: crystalline FeRe at its relaxed geometry (PBE).

Lattice parameters (Å, degrees): 2.6411 2.6411 3.6453 90.00 90.00 90.00
With the nearest neighbours (Å) after each atom.
Atoms (fractional coordinates):
Fe1 0.0000 0.0000 0.0000  8 Re 2.61, 4 Fe 2.64
Re1 0.5000 0.5000 0.5000  8 Fe 2.61, 4 Re 2.64

Output
The volume comes out at 25 Å³ per cell. As for the calculated total energy: -20.77 eV for the cell shown. The density of states at the Fermi level comes out at 2.23 states/eV/cell.


Record 2
Entry from Alexandria via LeMat-Bulk: crystalline FeRe2 at its relaxed geometry (PBE).

Lattice parameters (Å, degrees): 5.0932 5.0932 6.3257 103.39 103.39 30.91
With the nearest neighbours (Å) after each atom.
Atoms (fractional coordinates):
Fe1 0.0000 0.0000 0.0000  8 Re 2.56-2.77, 4 Fe 2.68-2.71
Fe2 0.6633 0.6633 0.3302  8 Re 2.55-2.72, 4 Fe 2.68-2.71
Re1 0.0582 0.0582 0.6025  3 Fe 2.59-2.71, 9 Re 2.62-2.72
Re2 0.3317 0.3317 0.6624  8 Re 2.62-2.76, 4 Fe 2.71-2.73
Re3 0.3901 0.3901 0.2683  5 Fe 2.60-2.72, 7 Re 2.69-2.71
Re4 0.7120 0.7120 0.9524  4 Fe 2.55-2.77, 8 Re 2.69-2.76

Output
The volume comes out at 82 Å³ per cell. As for the calculated total energy: -66.37 eV for the cell shown. The density of states at the Fermi level comes out at 5.09 states/eV/cell.


Record 3
Entry from Alexandria via LeMat-Bulk: crystalline FeRe at its relaxed geometry (PBE).

Lattice parameters (Å, degrees): 3.4173 3.4173 3.4173 60.00 60.00 60.00
With the nearest neighbours (Å) after each atom.
Atoms (fractional coordinates):
Fe1 0.0000 0.0000 0.0000  6 Re 2.42
Re1 0.5000 0.5000 0.5000  6 Fe 2.42

Output
The volume comes out at 28 Å³ per cell. As for the calculated total energy: -18.68 eV for the cell shown. The density of states at the Fermi level comes out at 3.09 states/eV/cell.


Record 4
Entry from Alexandria via LeMat-Bulk: crystalline FeRe at its relaxed geometry (PBE).

Lattice parameters (Å, degrees): 6.4395 6.4395 6.4395 90.00 90.00 90.00
With the nearest neighbours (Å) after each atom.
Atoms (fractional coordinates):
Fe1 0.0000 0.2500 0.5000  4 Re 2.28
Fe2 0.0000 0.7500 0.5000  4 Re 2.28
Fe3 0.2500 0.5000 0.0000  4 Re 2.28
Fe4 0.5000 0.0000 0.2500  4 Re 2.28
Fe5 0.5000 0.0000 0.7500  4 Re 2.28
Fe6 0.7500 0.5000 0.0000  4 Re 2.28
Re1 0.0000 0.5000 0.2500  4 Fe 2.28
Re2 0.0000 0.5000 0.7500  4 Fe 2.28
Re3 0.2500 0.0000 0.5000  4 Fe 2.28
Re4 0.5000 0.2500 0.0000  4 Fe 2.28
Re5 0.5000 0.7500 0.0000  4 Fe 2.28
Re6 0.7500 0.0000 0.5000  4 Fe 2.28

Output
The volume comes out at 267 Å³ per cell. As for the calculated total energy: -104.75 eV for the cell shown. The density of states at the Fermi level comes out at 6.18 states/eV/cell.


Record 5
Entry from Alexandria via LeMat-Bulk: crystalline FeRe at its relaxed geometry (PBE).

Lattice parameters (Å, degrees): 3.7205 3.7205 3.7205 60.00 60.00 60.00
With the nearest neighbours (Å) after each atom.
Atoms (fractional coordinates):
Fe1 0.0000 0.0000 0.0000  4 Re 2.28
Re1 0.7500 0.7500 0.7500  4 Fe 2.28

Output
The volume comes out at 36 Å³ per cell. As for the calculated total energy: -17.93 eV for the cell shown. The density of states at the Fermi level comes out at 2.18 states/eV/cell.


Record 6
Entry from Alexandria via LeMat-Bulk: crystalline FeRe at its relaxed geometry (PBE).

Lattice parameters (Å, degrees): 4.6048 4.2065 5.2493 90.00 90.00 90.00
With the nearest neighbours (Å) after each atom.
Atoms (fractional coordinates):
Fe1 0.0798 0.2500 0.1228  4 Fe 2.57-2.66, 8 Re 2.57-2.70
Fe2 0.4202 0.7500 0.6228  4 Fe 2.57-2.66, 8 Re 2.57-2.70
Fe3 0.5798 0.2500 0.3772  4 Fe 2.57-2.66, 8 Re 2.57-2.70
Fe4 0.9202 0.7500 0.8772  4 Fe 2.57-2.66, 8 Re 2.57-2.70
Re1 0.0958 0.2500 0.6227  8 Fe 2.57-2.70, 4 Re 2.62-2.66
Re2 0.4042 0.7500 0.1227  8 Fe 2.57-2.70, 4 Re 2.62-2.66
Re3 0.5958 0.2500 0.8773  8 Fe 2.57-2.70, 4 Re 2.62-2.66
Re4 0.9042 0.7500 0.3773  8 Fe 2.57-2.70, 4 Re 2.62-2.66

Output
The volume comes out at 102 Å³ per cell. As for the calculated total energy: -83.57 eV for the cell shown. The density of states at the Fermi level comes out at 8.91 states/eV/cell.


Record 7
Entry from Alexandria via LeMat-Bulk: crystalline FeRe at its relaxed geometry (PBE).

Lattice parameters (Å, degrees): 2.6765 2.6765 4.1593 90.00 90.00 120.00
With the nearest neighbours (Å) after each atom.
Atoms (fractional coordinates):
Fe1 0.0000 0.0000 0.0000  6 Re 2.59, 6 Fe 2.68
Re1 0.6667 0.3333 0.5000  6 Fe 2.59, 6 Re 2.68

Output
The volume comes out at 26 Å³ per cell. As for the calculated total energy: -20.72 eV for the cell shown. The density of states at the Fermi level comes out at 2.35 states/eV/cell.


Record 8
Entry from Alexandria via LeMat-Bulk: crystalline FeRe2 at its relaxed geometry (PBE).

Lattice parameters (Å, degrees): 4.6695 4.6695 4.6695 146.86 130.78 60.63
With the nearest neighbours (Å) after each atom.
Atoms (fractional coordinates):
Fe1 0.0000 0.0000 0.0000  2 Fe 2.66, 10 Re 2.70-2.71
Re1 0.3361 0.3361 0.0000  7 Re 2.64-2.74, 5 Fe 2.70-2.71
Re2 0.6639 0.6639 0.0000  7 Re 2.64-2.74, 5 Fe 2.70-2.71

Output
The volume comes out at 42 Å³ per cell. As for the calculated total energy: -33.06 eV for the cell shown. The density of states at the Fermi level comes out at 2.88 states/eV/cell.


Record 9
Entry from Alexandria via LeMat-Bulk: crystalline FeRe at its relaxed geometry (PBE).

Lattice parameters (Å, degrees): 6.6114 6.6114 6.6114 92.17 92.17 157.55
With the nearest neighbours (Å) after each atom.
Atoms (fractional coordinates):
Fe1 0.0821 0.3699 0.4520  6 Fe 2.37-2.57, 4 Re 2.45-2.61
Fe2 0.3699 0.9179 0.2878  6 Fe 2.37-2.57, 4 Re 2.45-2.61
Fe3 0.6301 0.0821 0.7122  6 Fe 2.37-2.57, 4 Re 2.45-2.61
Fe4 0.9179 0.6301 0.5480  6 Fe 2.37-2.57, 4 Re 2.45-2.61
Re1 0.1175 0.8291 0.9466  4 Fe 2.45-2.61, 4 Re 2.57-2.69
Re2 0.1709 0.1175 0.2884  4 Fe 2.45-2.61, 4 Re 2.57-2.69
Re3 0.8291 0.8825 0.7116  4 Fe 2.45-2.61, 4 Re 2.57-2.69
Re4 0.8825 0.1709 0.0534  4 Fe 2.45-2.61, 4 Re 2.57-2.69

Output
The volume comes out at 108 Å³ per cell. As for the calculated total energy: -79.29 eV for the cell shown. The density of states at the Fermi level comes out at 10.43 states/eV/cell.


Record 10
Entry from Alexandria via LeMat-Bulk: crystalline Fe5Re3 at its relaxed geometry (PBE).

Lattice parameters (Å, degrees): 5.2057 5.2057 3.6755 90.00 90.00 91.67
With the nearest neighbours (Å) after each atom.
Atoms (fractional coordinates):
Fe1 0.0000 0.0000 0.0000  8 Fe 2.55-2.60, 4 Re 2.57
Fe2 0.0000 0.5000 0.0000  6 Re 2.58-2.60, 6 Fe 2.60-2.62
Fe3 0.2431 0.2431 0.5000  6 Re 2.52-2.69, 6 Fe 2.55-2.62
Fe4 0.5000 0.0000 0.0000  6 Re 2.58-2.60, 6 Fe 2.60-2.62
Fe5 0.7569 0.7569 0.5000  6 Re 2.52-2.69, 6 Fe 2.55-2.62
Re1 0.2412 0.7588 0.5000  10 Fe 2.52-2.69, 2 Re 2.67
Re2 0.5000 0.5000 0.0000  8 Fe 2.60-2.62, 4 Re 2.67
Re3 0.7588 0.2412 0.5000  10 Fe 2.52-2.69, 2 Re 2.67

Output
The volume comes out at 100 Å³ per cell. As for the calculated total energy: -79.12 eV for the cell shown. The calculation puts the offset from the most stable computed form at 0.000 eV/atom. The density of states at the Fermi level comes out at 8.11 states/eV/cell.


Record 11
Entry from Alexandria via LeMat-Bulk: crystalline FeRe2 at its relaxed geometry (PBE).

Lattice parameters (Å, degrees): 5.1082 5.1082 5.1082 60.00 60.00 60.00
With the nearest neighbours (Å) after each atom.
Atoms (fractional coordinates):
Fe1 0.1250 0.1250 0.1250  12 Re 2.99, 4 Fe 3.13
Fe2 0.8750 0.8750 0.8750  12 Re 2.99, 4 Fe 3.13
Re1 0.0000 0.5000 0.5000  6 Re 2.55
Re2 0.5000 0.0000 0.5000  6 Re 2.55
Re3 0.5000 0.5000 0.0000  6 Re 2.55
Re4 0.5000 0.5000 0.5000  6 Re 2.55

Output
The volume comes out at 94 Å³ per cell. As for the calculated total energy: -62.99 eV for the cell shown. The density of states at the Fermi level comes out at 8.46 states/eV/cell.


Record 12
Entry from Alexandria via LeMat-Bulk: crystalline FeRe at its relaxed geometry (PBE).

Lattice parameters (Å, degrees): 4.1257 4.1257 4.5771 90.00 90.00 120.00
With the nearest neighbours (Å) after each atom.
Atoms (fractional coordinates):
Fe1 0.3333 0.6667 0.2500  5 Re 2.29-2.38
Fe2 0.6667 0.3333 0.7500  5 Re 2.29-2.38
Re1 0.3333 0.6667 0.7500  5 Fe 2.29-2.38
Re2 0.6667 0.3333 0.2500  5 Fe 2.29-2.38

Output
The volume comes out at 67 Å³ per cell. As for the calculated total energy: -36.97 eV for the cell shown. The density of states at the Fermi level comes out at 4.73 states/eV/cell.